one | The following is a DFT calculation (GGA+U) of a geometry-optimized CdMoIO2 structure.

Lattice parameters (Å, degrees): 4.0392 4.0392 7.1668 90.00 90.00 90.00
Closest atoms and distances in Å follow each position.
Positions (direct):
Cd  0.0000  0.0000  0.0000  4 I 2.86
Mo  0.5000  0.5000  0.5000  4 O 2.02
I  0.5000  0.5000  0.0000  4 Cd 2.86
O  0.0000  0.5000  0.5000  2 Mo 2.02
O  0.5000  0.0000  0.5000  2 Mo 2.02

Computed properties:
- Symmetry: P4/mmm (123)

---

two | The following is a DFT calculation (GGA+U) of a geometry-optimized CdMoIO2 structure.

Lattice parameters (Å, degrees): 4.2432 4.2432 6.1934 90.00 90.00 90.00
Closest atoms and distances in Å follow each position.
Positions (direct):
Cd  0.0000  0.0000  0.0000  4 O 2.12
Mo  0.5000  0.5000  0.5000  4 I 3.00
I  0.0000  0.0000  0.5000  4 Mo 3.00, 2 Cd 3.10
O  0.0000  0.5000  0.0000  2 Cd 2.12
O  0.5000  0.0000  0.0000  2 Cd 2.12

Computed properties:
- Symmetry: P4/mmm (123)

---

Least stable structure: two